Density functional theory data (PBE) for a relaxed AgSnPd3 crystal.

Cell and atoms, written as POSCAR:
```
AgSnPd3
1.0
-3.617 -0.216 3.345
-1.032 -4.610 -1.414
3.189 -1.737 3.336
Ag Sn Pd
1 1 3
direct
0.500 0.500 0.500
0.000 0.000 0.000
0.500 0.000 0.000
0.000 0.000 0.500
0.000 0.500 0.000
```

Space-group type: No. 221
Calculated formation energy, eV per atom: 0.520
Calculated total energy, eV/cell: -19.83



Density functional theory data (PBE) for a relaxed AgSn3Pd crystal.

Cell and atoms, written as POSCAR:
```
AgSn3Pd
1.0
5.206 0.000 0.000
0.000 5.206 0.000
0.000 0.000 5.206
Pd Sn Ag
1 3 1
direct
0.000 0.000 0.000
0.500 0.000 0.000
0.000 0.000 0.500
0.000 0.500 0.000
0.500 0.500 0.500
```

Space-group type: No. 221
Calculated formation energy, eV per atom: 0.201
Calculated total energy, eV/cell: -19.05



Density functional theory data (PBE) for a relaxed Ag2Sn5Pd crystal.

Cell and atoms, written as POSCAR:
```
Ag2Sn5Pd
1.0
-3.006 -0.457 -0.767
0.549 -3.451 6.316
-4.327 14.529 8.314
Sn Pd Ag
10 2 4
direct
0.856 0.712 0.250
0.038 0.076 0.147
0.038 0.076 0.353
0.144 0.288 0.750
0.254 0.509 0.405
0.746 0.491 0.905
0.254 0.509 0.095
0.962 0.924 0.853
0.746 0.491 0.595
0.962 0.924 0.647
0.194 0.387 0.250
0.806 0.613 0.750
0.097 0.195 0.517
0.903 0.805 0.483
0.903 0.805 0.017
0.097 0.195 0.983
```

Space-group type: No. 63
Calculated formation energy, eV per atom: -0.022
Calculated total energy, eV/cell: -62.18



Density functional theory data (PBE) for a relaxed AgSn4Pd7 crystal.

Cell and atoms, written as POSCAR:
```
AgSn4Pd7
1.0
4.977 0.000 0.000
2.488 8.226 0.011
2.488 0.314 5.615
Pd Sn Ag
7 4 1
direct
0.079 0.667 0.174
0.794 0.902 0.509
0.206 0.098 0.491
0.921 0.333 0.826
0.500 0.000 0.000
0.364 0.531 0.741
0.636 0.469 0.259
0.589 0.218 0.603
0.261 0.330 0.148
0.739 0.670 0.852
0.411 0.782 0.397
0.000 0.000 0.000
```

Space-group type: No. 12
Calculated formation energy, eV per atom: -0.300
Calculated total energy, eV/cell: -58.81



Density functional theory data (PBE) for a relaxed Ag2SnPd crystal.

Cell and atoms, written as POSCAR:
```
Ag2SnPd
1.0
-3.400 2.203 1.698
-0.521 -2.939 2.770
2.525 1.943 2.536
Pd Ag Sn
1 2 1
direct
0.500 0.500 0.500
0.000 0.000 0.500
0.000 0.500 0.000
0.500 0.000 0.000
```

Space-group type: No. 123
Calculated formation energy, eV per atom: -0.151
Calculated total energy, eV/cell: -15.50



Density functional theory data (PBE) for a relaxed AgSnPd4 crystal.

Cell and atoms, written as POSCAR:
```
AgSnPd4
1.0
-4.555 -2.885 -1.000
4.764 -2.152 -1.685
0.677 -1.069 8.136
Pd Ag Sn
8 2 2
direct
0.282 0.525 0.562
0.220 0.963 0.438
0.038 0.780 0.062
0.718 0.475 0.438
0.962 0.220 0.938
0.780 0.037 0.562
0.475 0.718 0.938
0.525 0.282 0.062
0.875 0.125 0.250
0.125 0.875 0.750
0.625 0.375 0.750
0.375 0.625 0.250
```

Space-group type: No. 70
Calculated formation energy, eV per atom: -0.207
Calculated total energy, eV/cell: -57.74



Density functional theory data (PBE) for a relaxed Ag2SnPd5 crystal.

Cell and atoms, written as POSCAR:
```
Ag2SnPd5
1.0
6.994 0.000 0.000
0.000 6.994 0.000
-3.497 -3.497 5.621
Ag Pd Sn
4 10 2
direct
0.644 0.144 0.000
0.856 0.644 0.000
0.356 0.856 0.000
0.144 0.356 0.000
0.000 0.000 0.000
0.017 0.517 0.333
0.983 0.483 0.667
0.483 0.684 0.667
0.816 0.017 0.333
0.316 0.816 0.333
0.184 0.983 0.667
0.517 0.316 0.333
0.500 0.500 0.000
0.684 0.184 0.667
0.250 0.250 0.500
0.750 0.750 0.500
```

Space-group type: No. 140
Calculated formation energy, eV per atom: -0.123
Calculated total energy, eV/cell: -73.31



Density functional theory data (PBE) for a relaxed AgSn3Pd6 crystal.

Cell and atoms, written as POSCAR:
```
AgSn3Pd6
1.0
6.163 0.000 0.000
0.000 7.987 -0.391
0.000 -2.164 7.698
Pd Sn Ag
12 6 2
direct
0.314 0.062 0.441
0.622 0.279 0.721
0.814 0.938 0.559
0.814 0.441 0.062
0.780 0.039 0.961
0.280 0.961 0.039
0.111 0.329 0.266
0.611 0.671 0.734
0.122 0.721 0.279
0.611 0.266 0.329
0.111 0.734 0.671
0.314 0.559 0.938
0.430 0.962 0.710
0.930 0.710 0.962
0.930 0.038 0.290
0.430 0.290 0.038
0.806 0.578 0.422
0.306 0.422 0.578
0.067 0.217 0.783
0.567 0.783 0.217
```

Space-group type: No. 36
Calculated formation energy, eV per atom: -0.333
Calculated total energy, eV/cell: -98.68